The following is a DFT calculation (GGA-PBE) of a relaxed CsTe3C crystal.

Calculated values
Final energy, eV/atom: -3.184
ρ, Mg/m³: 6.360

Cell lengths 5.1650, 5.1650, 5.1650 Å; angles 90.00, 90.00, 90.00 degrees
Space group Pm-3m (No. 221)
Symmetry-distinct sites (fractional):
Cs 0.0000 0.0000 0.0000 (multiplicity 1)
Te 0.0000 0.5000 0.5000 (multiplicity 3)
C 0.5000 0.5000 0.5000 (multiplicity 1)